DFT (PBE) results for a geometry-optimized GdThCdPb structure.

## Properties
As for the formation energy: -23.4 kJ per mole of atoms. As for the calculated volume: 115.4 Å³/f.u.

```
data_GdThCdPb
_chemical_formula_sum 'Gd4 Th4 Cd4 Pb4'
_symmetry_space_group_name_H-M 'F -4 3 m'
_symmetry_Int_Tables_number 216
_symmetry_space_group_name_Hall 'F -4 2 3'
_cell_length_a 7.7294
_cell_length_b 7.7294
_cell_length_c 7.7294
_cell_angle_alpha 90.00
_cell_angle_beta 90.00
_cell_angle_gamma 90.00
loop_
_atom_site_label
_atom_site_type_symbol
_atom_site_fract_x
_atom_site_fract_y
_atom_site_fract_z
Gd1 Gd 0.0000 0.0000 0.0000
Th1 Th 0.0000 0.0000 0.5000
Cd1 Cd 0.2500 0.2500 0.2500
Pb1 Pb 0.2500 0.2500 0.7500
```

DFT (PBE) results for a geometry-optimized GdTlCdPb structure.

## Properties
As for the formation energy: -16.7 kJ per mole of atoms. As for the calculated volume: 110.4 Å³/f.u.

```
data_GdTlCdPb
_chemical_formula_sum 'Gd4 Tl4 Cd4 Pb4'
_symmetry_space_group_name_H-M 'F -4 3 m'
_symmetry_Int_Tables_number 216
_symmetry_space_group_name_Hall 'F -4 2 3'
_cell_length_a 7.6153
_cell_length_b 7.6153
_cell_length_c 7.6153
_cell_angle_alpha 90.00
_cell_angle_beta 90.00
_cell_angle_gamma 90.00
loop_
_atom_site_label
_atom_site_type_symbol
_atom_site_fract_x
_atom_site_fract_y
_atom_site_fract_z
Gd1 Gd 0.0000 0.0000 0.0000
Tl1 Tl 0.2500 0.2500 0.2500
Cd1 Cd 0.0000 0.0000 0.5000
Pb1 Pb 0.2500 0.2500 0.7500
```

DFT (PBE) results for a geometry-optimized GdTmCdPb structure.

## Properties
As for the formation energy: -36.2 kJ per mole of atoms. As for the calculated volume: 108.0 Å³/f.u.

```
data_GdTmCdPb
_chemical_formula_sum 'Gd4 Tm4 Cd4 Pb4'
_symmetry_space_group_name_H-M 'F -4 3 m'
_symmetry_Int_Tables_number 216
_symmetry_space_group_name_Hall 'F -4 2 3'
_cell_length_a 7.5599
_cell_length_b 7.5599
_cell_length_c 7.5599
_cell_angle_alpha 90.00
_cell_angle_beta 90.00
_cell_angle_gamma 90.00
loop_
_atom_site_label
_atom_site_type_symbol
_atom_site_fract_x
_atom_site_fract_y
_atom_site_fract_z
Gd1 Gd 0.0000 0.0000 0.0000
Tm1 Tm 0.0000 0.0000 0.5000
Cd1 Cd 0.2500 0.2500 0.2500
Pb1 Pb 0.2500 0.2500 0.7500
```

DFT (PBE) results for a geometry-optimized GdCdPd structure.

## Properties
As for the formation energy: -53.1 kJ per mole of atoms. As for the calculated volume: 75.6 Å³/f.u.

```
data_GdCdPd
_chemical_formula_sum 'Gd4 Cd4 Pd4'
_symmetry_space_group_name_H-M 'F -4 3 m'
_symmetry_Int_Tables_number 216
_symmetry_space_group_name_Hall 'F -4 2 3'
_cell_length_a 6.7124
_cell_length_b 6.7124
_cell_length_c 6.7124
_cell_angle_alpha 90.00
_cell_angle_beta 90.00
_cell_angle_gamma 90.00
loop_
_atom_site_label
_atom_site_type_symbol
_atom_site_fract_x
_atom_site_fract_y
_atom_site_fract_z
Gd1 Gd 0.0000 0.0000 0.0000
Cd1 Cd 0.0000 0.0000 0.5000
Pd1 Pd 0.2500 0.2500 0.7500
```

Repeat the second record exactly.
DFT (PBE) results for a geometry-optimized GdTlCdPb structure.

## Properties
As for the formation energy: -16.7 kJ per mole of atoms. As for the calculated volume: 110.4 Å³/f.u.

```
data_GdTlCdPb
_chemical_formula_sum 'Gd4 Tl4 Cd4 Pb4'
_symmetry_space_group_name_H-M 'F -4 3 m'
_symmetry_Int_Tables_number 216
_symmetry_space_group_name_Hall 'F -4 2 3'
_cell_length_a 7.6153
_cell_length_b 7.6153
_cell_length_c 7.6153
_cell_angle_alpha 90.00
_cell_angle_beta 90.00
_cell_angle_gamma 90.00
loop_
_atom_site_label
_atom_site_type_symbol
_atom_site_fract_x
_atom_site_fract_y
_atom_site_fract_z
Gd1 Gd 0.0000 0.0000 0.0000
Tl1 Tl 0.2500 0.2500 0.2500
Cd1 Cd 0.0000 0.0000 0.5000
Pb1 Pb 0.2500 0.2500 0.7500
```